1.
This record from the Alexandria database describes crystalline KLiMn2 at its relaxed geometry. The functional is PBE-GGA.

Lattice parameters (Å, degrees): 2.9675 5.1792 6.4740 60.15 90.00 90.00
With the nearest neighbours (Å) after each atom.
Positions (direct):
K: 0.5000 0.5000 0.5000  2 K 2.97, 4 Li 2.98, 6 Mn 3.24-3.32
Li: 0.0000 0.0000 0.5000  2 Li 2.97, 4 K 2.98, 6 Mn 3.24-3.32
Mn: 0.0000 0.0000 0.0000  6 Mn 2.97-2.98, 2 Li 3.24, 4 K 3.32
Mn: 0.5000 0.5000 0.0000  6 Mn 2.97-2.98, 2 K 3.24, 4 Li 3.32

Computed properties:
The value obtained for the total energy is -17.76 eV per cell. For the formation energy, the calculation gives 0.8981 eV per atom. The calculation puts the energy relative to the lowest polymorph listed for this composition at 237 meV per atom. The space group is P2/m, No. 10. The density of states at the Fermi level comes out at 0.8287 states/eV per atom.

2.
This record from the Alexandria database describes crystalline SrAlTl2S4 at its relaxed geometry. The functional is PBE-GGA.

Lattice parameters (Å, degrees): 6.0071 9.2400 7.9576 90.00 90.00 90.00
With the nearest neighbours (Å) after each atom.
Positions (direct):
Sr: 0.9385 0.0784 0.5000  5 S 2.96-3.07
Sr: 0.4385 0.9216 0.0000  5 S 2.96-3.07
Al: 0.5077 0.7826 0.5000  4 S 2.24-2.30
Al: 0.0077 0.2174 0.0000  4 S 2.24-2.30
Tl: 0.4420 0.3609 0.3067  3 S 2.70-2.94
Tl: 0.4420 0.3609 0.6933  3 S 2.70-2.94
Tl: 0.9420 0.6391 0.8067  3 S 2.70-2.94
Tl: 0.9420 0.6391 0.1933  3 S 2.70-2.94
S: 0.3896 0.2401 0.0000  1 Al 2.30
S: 0.8896 0.7599 0.5000  1 Al 2.30
S: 0.4350 0.0205 0.5000  1 Al 2.24
S: 0.9350 0.9795 0.0000  1 Al 2.24
S: 0.4225 0.6742 0.7511  1 Al 2.29
S: 0.9225 0.3258 0.2511  1 Al 2.29
S: 0.9225 0.3258 0.7489  1 Al 2.29
S: 0.4225 0.6742 0.2489  1 Al 2.29

Computed properties:
The value obtained for the total energy is -68.54 eV per cell. The uncorrected formation energy is -91.68 kJ/mol of atoms. The space group is Pmn2_1, No. 31. The density of states at the Fermi level comes out at 0.2652 states/eV per atom.

3.
This record from the Alexandria database describes crystalline DyTm2Th at its relaxed geometry. The functional is PBE-GGA.

Lattice parameters (Å, degrees): 3.5305 3.5305 9.9876 90.00 90.00 90.00
With the nearest neighbours (Å) after each atom.
Positions (direct):
Tm: 0.0000 0.0000 0.7536  4 Th 3.51, 4 Tm 3.53, 4 Dy 3.56
Tm: 0.0000 0.0000 0.2464  4 Th 3.51, 4 Tm 3.53, 4 Dy 3.56
Th: 0.5000 0.5000 0.0000  8 Tm 3.51, 4 Th 3.53
Dy: 0.5000 0.5000 0.5000  4 Dy 3.53, 8 Tm 3.56

Computed properties:
The value obtained for the total energy is -20.87 eV per cell. For the formation energy, the calculation gives 0.0230 eV per atom. The calculation puts the energy relative to the lowest polymorph listed for this composition at 0 meV per atom. The space group is P4/mmm, No. 123. The density of states at the Fermi level comes out at 1.3898 states/eV per atom.

4.
This record from the Alexandria database describes crystalline Tm5Zn4Sn at its relaxed geometry. The functional is PBE-GGA.

Lattice parameters (Å, degrees): 3.5446 3.5446 17.9437 90.00 90.00 90.00
With the nearest neighbours (Å) after each atom.
Positions (direct):
Tm: 0.5000 0.5000 0.1132  4 Zn 3.08, 4 Sn 3.23
Tm: 0.5000 0.5000 0.3062  8 Zn 3.01-3.03
Tm: 0.5000 0.5000 0.5000  8 Zn 3.07
Tm: 0.5000 0.5000 0.6938  8 Zn 3.01-3.03
Tm: 0.5000 0.5000 0.8868  4 Zn 3.08, 4 Sn 3.23
Zn: 0.0000 0.0000 0.2131  8 Tm 3.01-3.08
Zn: 0.0000 0.0000 0.4013  8 Tm 3.03-3.07, 1 Zn 3.38
Zn: 0.0000 0.0000 0.5987  8 Tm 3.03-3.07, 1 Zn 3.38
Zn: 0.0000 0.0000 0.7869  8 Tm 3.01-3.08
Sn: 0.0000 0.0000 0.0000  8 Tm 3.23, 4 Sn 3.54

Computed properties:
The value obtained for the total energy is -35.45 eV per cell. For the formation energy, the calculation gives -0.3992 eV per atom. The space group is P4/mmm, No. 123. The density of states at the Fermi level comes out at 0.7676 states/eV per atom.

5.
This record from the Alexandria database describes crystalline HoAlSi at its relaxed geometry. The functional is PBE-GGA.

Lattice parameters (Å, degrees): 3.9961 5.5017 5.6945 90.00 90.00 111.28
With the nearest neighbours (Å) after each atom.
Positions (direct):
Si: 0.5999 0.1992 0.7500  4 Al 2.66, 2 Ho 2.90
Si: 0.4001 0.8008 0.2500  4 Al 2.66, 2 Ho 2.90
Ho: 0.6947 0.3906 0.2500  5 Si 2.90-3.02, 4 Al 3.17
Ho: 0.3053 0.6094 0.7500  5 Si 2.90-3.02, 4 Al 3.17
Al: 0.0000 0.0000 0.5000  4 Si 2.66, 2 Al 2.85
Al: 0.0000 0.0000 0.0000  4 Si 2.66, 2 Al 2.85

Computed properties:
The value obtained for the total energy is -31.21 eV per cell. The uncorrected formation energy is -59.80 kJ/mol of atoms. The space group is Cmcm, No. 63. The density of states at the Fermi level comes out at 0.3993 states/eV per atom.

6.
This record from the Alexandria database describes crystalline TeAs2 at its relaxed geometry. The functional is PBE-GGA.

Lattice parameters (Å, degrees): 8.9119 8.9119 3.5300 90.00 90.00 120.00
With the nearest neighbours (Å) after each atom.
Positions (direct):
Te: 0.3333 0.6667 0.0000  9 As 3.01-3.13
Te: 0.6667 0.3333 0.0000  9 As 3.01-3.13
Te: 0.0000 0.0000 0.5000  6 As 3.38, 2 Te 3.53
As: 0.3236 0.0000 0.0000  2 As 2.54
As: 0.0000 0.3236 0.0000  2 As 2.54
As: 0.6764 0.6764 0.0000  2 As 2.54
As: 0.5291 0.0000 0.5000  2 As 2.54
As: 0.0000 0.5291 0.5000  2 As 2.54
As: 0.4709 0.4709 0.5000  2 As 2.54

Computed properties:
The value obtained for the total energy is -34.15 eV per cell. The uncorrected formation energy is 33.97 kJ/mol of atoms. The space group is P-62m, No. 189. The density of states at the Fermi level comes out at 0.4998 states/eV per atom.